# KAgF3, optimized geometry, DFT PBE
# Total magnetic moment, μB per atom: 0.129
# Calculated total energy, eV/f.u.: -18.08
data_KAgF3
_space_group_name_H-M_alt 'C 1 2/m 1'
_space_group_IT_number 12
_cell_length_a 15.157
_cell_length_b 3.547
_cell_length_c 7.077
_cell_angle_alpha 90.00
_cell_angle_beta 93.09
_cell_angle_gamma 90.00
loop_
_space_group_symop_operation_xyz
'x,y,z'
'-x,-y,-z'
'-x,y,-z'
'x,-y,z'
'x+1/2,y+1/2,z'
'-x+1/2,-y+1/2,-z'
'-x+1/2,y+1/2,-z'
'x+1/2,-y+1/2,z'
loop_
_atom_site_label
_atom_site_type_symbol
_atom_site_fract_x
_atom_site_fract_y
_atom_site_fract_z
K1 K 0.147 0.000 0.118
Ag1 Ag 0.077 0.500 0.640
F1 F 0.023 0.000 0.783
F2 F 0.124 0.000 0.493
F3 F 0.182 0.500 0.869

***

# PrY2Pu3Te6, optimized geometry, DFT PBE
# Total magnetic moment, μB per atom: 1.490
# Calculated total energy, eV/f.u.: -94.50
data_PrY2Pu3Te6
_space_group_name_H-M_alt 'C 1 2/m 1'
_space_group_IT_number 12
_cell_length_a 19.347
_cell_length_b 4.408
_cell_length_c 8.889
_cell_angle_alpha 90.00
_cell_angle_beta 103.89
_cell_angle_gamma 90.00
loop_
_space_group_symop_operation_xyz
'x,y,z'
'-x,-y,-z'
'-x,y,-z'
'x,-y,z'
'x+1/2,y+1/2,z'
'-x+1/2,-y+1/2,-z'
'-x+1/2,y+1/2,-z'
'x+1/2,-y+1/2,z'
loop_
_atom_site_label
_atom_site_type_symbol
_atom_site_fract_x
_atom_site_fract_y
_atom_site_fract_z
Pr1 Pr 0.000 0.000 0.000
Y1 Y 0.166 0.500 0.332
Pu1 Pu 0.000 0.000 0.500
Pu2 Pu 0.164 0.500 0.833
Te1 Te 0.002 0.500 0.257
Te2 Te 0.168 0.000 0.580
Te3 Te 0.170 0.000 0.088

***

# Cu4PtAu4, optimized geometry, DFT PBE
# Total magnetic moment, μB per atom: 0.000
# Calculated formation energy, meV per atom: -53
# Calculated total energy, eV/f.u.: -36.02
data_Cu4PtAu4
_space_group_name_H-M_alt 'I 4/m m m'
_space_group_IT_number 139
_space_group_name_Hall '-I 4 2'
_cell_length_a 8.477
_cell_length_b 8.477
_cell_length_c 3.827
_cell_angle_alpha 90.00
_cell_angle_beta 90.00
_cell_angle_gamma 90.00
loop_
_atom_site_label
_atom_site_type_symbol
_atom_site_fract_x
_atom_site_fract_y
_atom_site_fract_z
Cu1 Cu 0.163 0.163 0.000
Pt1 Pt 0.000 0.000 0.500
Au1 Au 0.000 0.322 0.500

***

# K3TlP, optimized geometry, DFT PBE
# Total magnetic moment, μB per atom: 0.177
# Distance to the lowest polymorph of the same formula, meV per atom: 0
# Calculated formation energy, meV per atom: 80
# Calculated total energy, eV/f.u.: -10.67
data_K3TlP
_space_group_name_H-M_alt 'P m -3 m'
_space_group_IT_number 221
_space_group_name_Hall '-P 4 2 3'
_cell_length_a 6.279
_cell_length_b 6.279
_cell_length_c 6.279
_cell_angle_alpha 90.00
_cell_angle_beta 90.00
_cell_angle_gamma 90.00
loop_
_atom_site_label
_atom_site_type_symbol
_atom_site_fract_x
_atom_site_fract_y
_atom_site_fract_z
K1 K 0.000 0.000 0.500
Tl1 Tl 0.500 0.500 0.500
P1 P 0.000 0.000 0.000

***

# InSb2Te, optimized geometry, DFT PBE
# Total magnetic moment, μB per atom: 0.000
# Distance to the lowest polymorph of the same formula, meV per atom: 255
# Calculated total energy, eV/f.u.: -13.45
data_InSb2Te
_space_group_name_H-M_alt 'P 4/m m m'
_space_group_IT_number 123
_space_group_name_Hall '-P 4 2'
_cell_length_a 4.498
_cell_length_b 4.498
_cell_length_c 5.676
_cell_angle_alpha 90.00
_cell_angle_beta 90.00
_cell_angle_gamma 90.00
loop_
_atom_site_label
_atom_site_type_symbol
_atom_site_fract_x
_atom_site_fract_y
_atom_site_fract_z
In1 In 0.000 0.000 0.000
Sb1 Sb 0.000 0.500 0.500
Te1 Te 0.500 0.500 0.000

***

# Ce6PS5, optimized geometry, DFT PBE
# Total magnetic moment, μB per atom: 0.230
# Calculated total energy, eV/f.u.: -85.25
data_Ce6PS5
_space_group_name_H-M_alt 'C 1 2/m 1'
_space_group_IT_number 12
_cell_length_a 6.979
_cell_length_b 12.091
_cell_length_c 6.979
_cell_angle_alpha 90.00
_cell_angle_beta 109.48
_cell_angle_gamma 90.00
loop_
_space_group_symop_operation_xyz
'x,y,z'
'-x,-y,-z'
'-x,y,-z'
'x,-y,z'
'x+1/2,y+1/2,z'
'-x+1/2,-y+1/2,-z'
'-x+1/2,y+1/2,-z'
'x+1/2,-y+1/2,z'
loop_
_atom_site_label
_atom_site_type_symbol
_atom_site_fract_x
_atom_site_fract_y
_atom_site_fract_z
Ce1 Ce 0.250 0.000 0.249
Ce2 Ce 0.250 0.166 0.750
P1 P 0.000 0.500 0.000
S1 S 0.000 0.000 0.500
S2 S 0.000 0.167 0.000
S3 S 0.000 0.334 0.500

***

# CdSnBi, optimized geometry, DFT PBE
# Total magnetic moment, μB per atom: 0.000
# Calculated formation energy, meV per atom: 94
# Calculated total energy, eV/f.u.: -8.52
data_CdSnBi
_space_group_name_H-M_alt 'F -4 3 m'
_space_group_IT_number 216
_space_group_name_Hall 'F -4 2 3'
_cell_length_a 7.226
_cell_length_b 7.226
_cell_length_c 7.226
_cell_angle_alpha 90.00
_cell_angle_beta 90.00
_cell_angle_gamma 90.00
loop_
_atom_site_label
_atom_site_type_symbol
_atom_site_fract_x
_atom_site_fract_y
_atom_site_fract_z
Cd1 Cd 0.000 0.000 0.000
Sn1 Sn 0.250 0.250 0.750
Bi1 Bi 0.250 0.250 0.250

***

# LiYC, optimized geometry, DFT PBE
# Total magnetic moment, μB per atom: 0.000
# Distance to the lowest polymorph of the same formula, meV per atom: 250
# Calculated formation energy, meV per atom: 115
# Calculated total energy, eV/f.u.: -17.26
data_LiYC
_space_group_name_H-M_alt 'C 1 m 1'
_space_group_IT_number 8
_cell_length_a 11.989
_cell_length_b 3.493
_cell_length_c 5.693
_cell_angle_alpha 90.00
_cell_angle_beta 109.50
_cell_angle_gamma 90.00
loop_
_space_group_symop_operation_xyz
'x,y,z'
'x,-y,z'
'x+1/2,y+1/2,z'
'x+1/2,-y+1/2,z'
loop_
_atom_site_label
_atom_site_type_symbol
_atom_site_fract_x
_atom_site_fract_y
_atom_site_fract_z
Li1 Li 0.000 0.000 0.000
Li2 Li 0.191 0.500 0.311
Y1 Y 0.257 0.000 0.746
Y2 Y 0.467 0.000 0.468
C1 C 0.088 0.000 0.385
C2 C 0.365 0.500 0.647

***

# YHoTmPu, optimized geometry, DFT PBE
# Total magnetic moment, μB per atom: 1.702
# Calculated formation energy, meV per atom: 188
# Calculated total energy, eV/f.u.: -29.09
data_YHoTmPu
_space_group_name_H-M_alt 'F -4 3 m'
_space_group_IT_number 216
_space_group_name_Hall 'F -4 2 3'
_cell_length_a 7.861
_cell_length_b 7.861
_cell_length_c 7.861
_cell_angle_alpha 90.00
_cell_angle_beta 90.00
_cell_angle_gamma 90.00
loop_
_atom_site_label
_atom_site_type_symbol
_atom_site_fract_x
_atom_site_fract_y
_atom_site_fract_z
Y1 Y 0.000 0.000 0.000
Ho1 Ho 0.250 0.250 0.250
Tm1 Tm 0.250 0.250 0.750
Pu1 Pu 0.000 0.000 0.500

***

# Pa2GeC, optimized geometry, DFT PBE
# Total magnetic moment, μB per atom: 0.000
# Distance to the lowest polymorph of the same formula, meV per atom: 0
# Calculated formation energy, meV per atom: -382
# Calculated total energy, eV/f.u.: -34.36
data_Pa2GeC
_space_group_name_H-M_alt 'R -3 m'
_space_group_IT_number 166
_space_group_name_Hall '-R 3 2"'
_cell_length_a 3.7772
_cell_length_b 3.7772
_cell_length_c 19.8079
_cell_angle_alpha 90.00
_cell_angle_beta 90.00
_cell_angle_gamma 120.00
loop_
_atom_site_label
_atom_site_type_symbol
_atom_site_fract_x
_atom_site_fract_y
_atom_site_fract_z
Pa1 Pa 0.0000 0.0000 0.2352
Ge1 Ge 0.0000 0.0000 0.0000
C1 C 0.0000 0.0000 0.5000

***

# CaNd5S6, optimized geometry, DFT PBE
# Total magnetic moment, μB per atom: 0.000
# Calculated total energy, eV/f.u.: -75.04
data_CaNd5S6
_space_group_name_H-M_alt 'C 1 2/m 1'
_space_group_IT_number 12
_cell_length_a 7.024
_cell_length_b 12.206
_cell_length_c 7.034
_cell_angle_alpha 90.00
_cell_angle_beta 109.46
_cell_angle_gamma 90.00
loop_
_space_group_symop_operation_xyz
'x,y,z'
'-x,-y,-z'
'-x,y,-z'
'x,-y,z'
'x+1/2,y+1/2,z'
'-x+1/2,-y+1/2,-z'
'-x+1/2,y+1/2,-z'
'x+1/2,-y+1/2,z'
loop_
_atom_site_label
_atom_site_type_symbol
_atom_site_fract_x
_atom_site_fract_y
_atom_site_fract_z
Ca1 Ca 0.000 0.000 0.000
Nd1 Nd 0.000 0.168 0.500
Nd2 Nd 0.000 0.333 0.000
Nd3 Nd 0.000 0.500 0.500
S1 S 0.245 0.000 0.754
S2 S 0.246 0.164 0.247

***

# MoSe2BrCl, optimized geometry, DFT PBE
# Total magnetic moment, μB per atom: 0.000
# Distance to the lowest polymorph of the same formula, meV per atom: 0
# Calculated total energy, eV/f.u.: -20.95
data_MoSe2BrCl
_space_group_name_H-M_alt 'P 4/m m m'
_space_group_IT_number 123
_space_group_name_Hall '-P 4 2'
_cell_length_a 4.891
_cell_length_b 4.891
_cell_length_c 5.129
_cell_angle_alpha 90.00
_cell_angle_beta 90.00
_cell_angle_gamma 90.00
loop_
_atom_site_label
_atom_site_type_symbol
_atom_site_fract_x
_atom_site_fract_y
_atom_site_fract_z
Mo1 Mo 0.000 0.000 0.000
Se1 Se 0.000 0.500 0.000
Br1 Br 0.000 0.000 0.500
Cl1 Cl 0.500 0.500 0.500